HgPb: optimized geometry, PBE.

The calculation puts the energy of formation at 0.057 eV/atom. Its total DFT energy (no corrections) is -23.4 eV for the cell shown. For the mass density, the calculation gives 11.3 g/cm3.

The structure belongs to space group Amm2 (No. 38); the cell edges are 4.0236, 12.2892 and 7.2679 Å and the angles 90.00°, 90.00° and 90.00°. The inequivalent atoms are Hg at (0.0000, 0.0000, 0.0000), Hg at (0.0000, 0.1247, 0.3736), Pb at (0.5000, 0.0000, 0.6686) and Pb at (0.5000, 0.2094, 0.0494).

=====

Hg2Pb: optimized geometry, PBE.

As for the energy relative to the lowest polymorph listed for this composition: 0 meV/atom. The calculation puts the energy of formation at 0.026 eV/atom. Its total DFT energy (no corrections) is -16.9 eV for the cell shown. For the mass density, the calculation gives 12.1 g/cm3.

The structure belongs to space group Cm (No. 8); the cell edges are 12.1122, 3.6366 and 7.9015 Å and the angles 90.00°, 105.67° and 90.00°. The inequivalent atoms are Hg at (0.0000, 0.0000, 0.0000), Hg at (0.0015, 0.0000, 0.5035), Hg at (0.1567, 0.5000, 0.3389), Hg at (0.3426, 0.0000, 0.6607), Pb at (0.1733, 0.5000, 0.8239) and Pb at (0.3297, 0.0000, 0.1826).

=====

HgPb4: optimized geometry, PBE.

As for the energy relative to the lowest polymorph listed for this composition: 416 meV/atom. The calculation puts the energy of formation at 0.423 eV/atom. Its total DFT energy (no corrections) is -13.0 eV for the cell shown. For the mass density, the calculation gives 9.1 g/cm3.

The structure belongs to space group Pm-3m (No. 221); the cell edges are 5.7325, 5.7325 and 5.7325 Å and the angles 90.00°, 90.00° and 90.00°. The inequivalent atoms are Hg at (0.0000, 0.0000, 0.0000), Pb at (0.0000, 0.0000, 0.5000) and Pb at (0.5000, 0.5000, 0.5000).

=====

HgPb: optimized geometry, PBE.

The calculation puts the energy of formation at 0.040 eV/atom. Its total DFT energy (no corrections) is -7.9 eV for the cell shown. For the mass density, the calculation gives 11.6 g/cm3.

The structure belongs to space group P6_3/mmc (No. 194); the cell edges are 3.7619, 3.7619 and 9.5507 Å and the angles 90.00°, 90.00° and 120.00°. The inequivalent atoms are Hg at (0.3333, 0.6667, 0.2500) and Pb at (0.0000, 0.0000, 0.0000).

=====

Hg2Pb: optimized geometry, PBE.

As for the energy relative to the lowest polymorph listed for this composition: 77 meV/atom. The calculation puts the energy of formation at 0.103 eV/atom. Its total DFT energy (no corrections) is -4.0 eV for the cell shown. For the mass density, the calculation gives 10.3 g/cm3.

The structure belongs to space group P4/mmm (No. 123); the cell edges are 4.9246, 4.9246 and 4.0372 Å and the angles 90.00°, 90.00° and 90.00°. The inequivalent atoms are Hg at (0.0000, 0.5000, 0.0000) and Pb at (0.0000, 0.0000, 0.5000).

=====

Hg3Pb: optimized geometry, PBE.

The calculation puts the energy of formation at 0.073 eV/atom. Its total DFT energy (no corrections) is -8.6 eV for the cell shown. For the mass density, the calculation gives 12.2 g/cm3.

The structure belongs to space group Pm-3n (No. 223); the cell edges are 6.0311, 6.0311 and 6.0311 Å and the angles 90.00°, 90.00° and 90.00°. The inequivalent atoms are Hg at (0.0000, 0.2500, 0.5000) and Pb at (0.0000, 0.0000, 0.0000).

=====

Hg7Pb5: optimized geometry, PBE.

The calculation puts the energy of formation at 0.033 eV/atom. Its total DFT energy (no corrections) is -20.3 eV for the cell shown. For the mass density, the calculation gives 12.0 g/cm3.

The structure belongs to space group Pmm2 (No. 25); the cell edges are 3.5961, 10.2372 and 9.1713 Å and the angles 90.00°, 90.00° and 90.00°. The inequivalent atoms are Hg at (0.0000, 0.0000, 0.0000), Hg at (0.0000, 0.0000, 0.4828), Hg at (0.0000, 0.3288, 0.9793), Hg at (0.5000, 0.1595, 0.2284), Hg at (0.5000, 0.5000, 0.7335), Pb at (0.0000, 0.3268, 0.4761), Pb at (0.5000, 0.1650, 0.7423) and Pb at (0.5000, 0.5000, 0.2135).

=====

Hg2Pb: optimized geometry, PBE.

As for the energy relative to the lowest polymorph listed for this composition: 11 meV/atom. The calculation puts the energy of formation at 0.037 eV/atom. Its total DFT energy (no corrections) is -16.8 eV for the cell shown. For the mass density, the calculation gives 11.9 g/cm3.

The structure belongs to space group C2/m (No. 12); the cell edges are 11.9873, 3.3605 and 9.8864 Å and the angles 90.00°, 121.21° and 90.00°. The inequivalent atoms are Hg at (0.1403, 0.0000, 0.0268), Hg at (0.2286, 0.0000, 0.6502) and Pb at (0.0033, 0.5000, 0.6878).

=====

HgPb3: optimized geometry, PBE.

The calculation puts the energy of formation at 0.013 eV/atom. Its total DFT energy (no corrections) is -22.7 eV for the cell shown. For the mass density, the calculation gives 11.4 g/cm3.

The structure belongs to space group I4/mmm (No. 139); the cell edges are 4.9236, 4.9236 and 9.8845 Å and the angles 90.00°, 90.00° and 90.00°. The inequivalent atoms are Hg at (0.0000, 0.0000, 0.0000), Pb at (0.0000, 0.0000, 0.5000) and Pb at (0.0000, 0.5000, 0.2500).

=====

Hg2Pb: optimized geometry, PBE.

As for the energy relative to the lowest polymorph listed for this composition: 43 meV/atom. The calculation puts the energy of formation at 0.069 eV/atom. Its total DFT energy (no corrections) is -8.2 eV for the cell shown. For the mass density, the calculation gives 12.0 g/cm3.

The structure belongs to space group P6_3/mmc (No. 194); the cell edges are 5.5981, 5.5981 and 6.1790 Å and the angles 90.00°, 90.00° and 120.00°. The inequivalent atoms are Hg at (0.0000, 0.0000, 0.0000), Hg at (0.3333, 0.6667, 0.2500) and Pb at (0.3333, 0.6667, 0.7500).

=====

HgPb: optimized geometry, PBE.

The calculation puts the energy of formation at 0.074 eV/atom. Its total DFT energy (no corrections) is -61.8 eV for the cell shown. For the mass density, the calculation gives 11.4 g/cm3.

The structure belongs to space group Fddd (No. 70, origin choice 2); the cell edges are 7.8521, 9.7664 and 12.3560 Å and the angles 90.00°, 90.00° and 90.00°. The inequivalent atoms are Hg at (0.0642, 0.3750, 0.3750) and Pb at (0.1250, 0.3262, 0.6250).

=====

Hg13Pb3: optimized geometry, PBE.

The calculation puts the energy of formation at 0.027 eV/atom. Its total DFT energy (no corrections) is -29.2 eV for the cell shown. For the mass density, the calculation gives 12.2 g/cm3.

The structure belongs to space group Amm2 (No. 38); the cell edges are 8.4894, 9.7572 and 10.6011 Å and the angles 90.00°, 90.00° and 90.00°. The inequivalent atoms are Hg at (0.0000, 0.0000, 0.0000), Hg at (0.0000, 0.0000, 0.4842), Hg at (0.0000, 0.2404, 0.2398), Hg at (0.2286, 0.0000, 0.7375), Hg at (0.2458, 0.2483, 0.4853), Hg at (0.5000, 0.0000, 0.4999), Hg at (0.5000, 0.2274, 0.7275), Pb at (0.2801, 0.0000, 0.2425) and Pb at (0.5000, 0.0000, 0.9741).